Entry from Alexandria via LeMat-Bulk: a relaxed NaTc3B crystal (PBE).

energy above the lowest structure with this stoichiometry = 0.00 eV per formula unit

a = 4.1883 Å, b = 4.1883 Å, c = 4.1883 Å
α = 90.00°, β = 90.00°, γ = 90.00°
Closest atoms and distances in Å follow each position.
Atoms (fractional coordinates):
Tc 0.5000 0.0000 0.0000  2 B 2.09
Tc 0.0000 0.0000 0.5000  2 B 2.09
Tc 0.0000 0.5000 0.0000  2 B 2.09
Na 0.5000 0.5000 0.5000  12 Tc 2.96
B 0.0000 0.0000 0.0000  6 Tc 2.09

Entry from Alexandria via LeMat-Bulk: a relaxed NaTcB2 crystal (PBE).

energy above the lowest structure with this stoichiometry = 0.00 eV per formula unit

a = 5.8613 Å, b = 5.8613 Å, c = 6.2328 Å
α = 61.95°, β = 61.95°, γ = 90.00°
Closest atoms and distances in Å follow each position.
Atoms (fractional coordinates):
Na 0.5000 0.5000 0.0000  4 B 2.98
Na 0.2500 0.7500 0.5000  4 B 2.98
B 0.8750 0.0198 0.7500  2 Tc 1.97
B 0.3750 0.2302 0.7500  2 Tc 1.97
B 0.7698 0.1250 0.2500  2 Tc 1.97
B 0.9802 0.6250 0.2500  2 Tc 1.97
Tc 0.7500 0.2500 0.5000  4 B 1.97
Tc 0.0000 0.0000 0.0000  4 B 1.97

Entry from Alexandria via LeMat-Bulk: a relaxed Na3TcB crystal (PBE).

energy above the lowest structure with this stoichiometry = 0.00 eV per formula unit

a = 5.0221 Å, b = 5.0221 Å, c = 5.0221 Å
α = 90.00°, β = 90.00°, γ = 90.00°
Closest atoms and distances in Å follow each position.
Atoms (fractional coordinates):
B 0.0000 0.0000 0.0000  6 Na 2.51
Na 0.5000 0.0000 0.0000  2 B 2.51
Na 0.0000 0.5000 0.0000  2 B 2.51
Na 0.0000 0.0000 0.5000  2 B 2.51
Tc 0.5000 0.5000 0.5000  12 Na 3.55

Entry from Alexandria via LeMat-Bulk: a relaxed NaTcB2 crystal (PBE).

energy above the lowest structure with this stoichiometry = 1.29 eV per formula unit

a = 3.9411 Å, b = 3.9411 Å, c = 3.9411 Å
α = 60.00°, β = 60.00°, γ = 60.00°
Closest atoms and distances in Å follow each position.
Atoms (fractional coordinates):
Na 0.0000 0.0000 0.0000  8 B 2.41
Tc 0.5000 0.5000 0.5000  8 B 2.41
B 0.2500 0.2500 0.2500  4 Tc 2.41, 4 Na 2.41
B 0.7500 0.7500 0.7500  4 Tc 2.41, 4 Na 2.41

Entry from Alexandria via LeMat-Bulk: a relaxed NaTc2B crystal (PBE).

a = 4.5226 Å, b = 4.5226 Å, c = 8.0923 Å
α = 73.77°, β = 73.77°, γ = 90.00°
Closest atoms and distances in Å follow each position.
Atoms (fractional coordinates):
Tc 0.8750 0.6904 0.7500  2 B 2.20, 2 Tc 2.34
Tc 0.3096 0.6250 0.2500  2 B 2.20, 2 Tc 2.34
Tc 0.4404 0.1250 0.2500  2 B 2.20, 2 Tc 2.34
Tc 0.3750 0.5596 0.7500  2 B 2.20, 2 Tc 2.34
Na 0.0000 0.0000 0.0000  4 Tc 2.93, 4 B 3.20
Na 0.7500 0.2500 0.5000  4 Tc 2.93, 4 B 3.20
B 0.2500 0.7500 0.5000  4 Tc 2.20
B 0.5000 0.5000 0.0000  4 Tc 2.20

Entry from Alexandria via LeMat-Bulk: a relaxed NaTc3B crystal (PBE).

energy above the lowest structure with this stoichiometry = 13.23 eV per formula unit

a = 4.4460 Å, b = 4.4460 Å, c = 4.4460 Å
α = 90.00°, β = 90.00°, γ = 90.00°
Closest atoms and distances in Å follow each position.
Atoms (fractional coordinates):
Tc 0.5000 0.0000 0.0000  2 Na 2.22
Tc 0.0000 0.0000 0.5000  2 Na 2.22
Tc 0.0000 0.5000 0.0000  2 Na 2.22
B 0.5000 0.5000 0.5000  12 Tc 3.14
Na 0.0000 0.0000 0.0000  6 Tc 2.22

Entry from Alexandria via LeMat-Bulk: a relaxed Na3TcB crystal (PBE).

energy above the lowest structure with this stoichiometry = 2.52 eV per formula unit

a = 5.6821 Å, b = 5.6821 Å, c = 5.6821 Å
α = 90.00°, β = 90.00°, γ = 90.00°
Closest atoms and distances in Å follow each position.
Atoms (fractional coordinates):
Na 0.5000 0.0000 0.0000  2 Tc 2.84
Na 0.0000 0.0000 0.5000  2 Tc 2.84
Na 0.0000 0.5000 0.0000  2 Tc 2.84
Tc 0.0000 0.0000 0.0000  6 Na 2.84
B 0.5000 0.5000 0.5000  12 Na 4.02

Entry from Alexandria via LeMat-Bulk: a relaxed NaTcBW2 crystal (PBE).

a = 4.4883 Å, b = 4.3417 Å, c = 4.4883 Å
α = 90.00°, β = 90.00°, γ = 90.00°
Closest atoms and distances in Å follow each position.
Atoms (fractional coordinates):
W 0.5000 0.0000 0.0000  2 Na 2.24
W 0.0000 0.0000 0.5000  2 Na 2.24
Tc 0.0000 0.5000 0.0000  2 Na 2.17
Na 0.0000 0.0000 0.0000  2 Tc 2.17, 4 W 2.24
B 0.5000 0.5000 0.5000  8 W 3.12, 4 Tc 3.17

Result set for formation energy from the elements: 0.66; 0.74; 1.60; 1.06; 1.18; 3.31; 2.10; 3.65 eV per atom, one per record in the order listed.